Entry from the Alexandria database: crystalline MnZn2InRe at its relaxed geometry (PBE-GGA).

Summary:
Total magnetization = 0.368 μB per atom
DOS(E_F) = 3.80 states/eV per cell
Crystal system = tetragonal
Final energy = -4.469 eV/atom
Energy of formation = 0.91 eV per atom

Cell: 4.628 4.628 4.462 Å, 90.00 90.00 90.00°
Space group P4/mmm (No. 123)
Asymmetric unit:
Mn1 0.000 0.000 0.000 (multiplicity 1)
Zn1 0.000 0.500 0.000 (multiplicity 2)
In1 0.500 0.500 0.500 (multiplicity 1)
Re1 0.000 0.000 0.500 (multiplicity 1)